# 1
12
Lattice="6.357 0.000 0.000 -3.178 6.775 0.000 0.000 0.000 8.992" Properties=species:S:1:pos:R:3 comment="PBE-GGA In2Hg4AsCl5, relaxed" energy_ev_per_cell=-26.18 raw_formation_energy_ev_per_atom=-0.4679 sg="Amm2, No. 38" pbc="T T T"
As 1.966 0.000 0.000
In 1.085 2.504 4.496
Hg 3.826 0.000 7.229
Hg 2.006 2.764 0.000
In 4.263 4.271 4.496
Cl 2.377 4.851 6.710
Hg -1.173 4.011 0.000
Cl -0.802 1.923 2.282
Cl 2.377 4.851 2.282
Cl 2.700 0.000 4.496
Hg 3.826 0.000 1.763
Cl -0.802 1.923 6.710



# 2
5
Lattice="-1.479 0.205 -5.215 3.028 -3.348 -0.990 -3.822 -3.734 0.937" Properties=species:S:1:pos:R:3 comment="PBE-GGA Hg2AsIrCl, relaxed" energy_ev_per_cell=-13.44 dos_at_fermi_per_ev_cell=4.036 raw_formation_energy_ev_per_atom=0.5038 sg="P4/mmm, No. 123" pbc="T T T"
Hg -0.740 0.102 -2.608
Hg -1.911 -1.867 0.469
As 0.000 0.000 0.000
Ir 1.514 -1.674 -0.495
Cl -1.137 -3.439 -2.634



# 3
9
Lattice="6.841 -0.001 0.000 3.420 5.924 0.001 0.001 0.001 6.922" Properties=species:S:1:pos:R:3 comment="PBE-GGA KHgAsCl6, relaxed" energy_ev_per_cell=-25.41 dos_at_fermi_per_ev_cell=0.000 raw_formation_energy_ev_per_atom=-0.9199 sg="P312, No. 149" pbc="T T T"
Cl 7.728 5.802 1.982
K 3.421 5.925 6.923
Cl 8.003 2.255 1.983
Hg 3.421 1.975 3.461
As 6.842 3.949 3.462
Cl 4.792 3.790 1.982
Cl 8.889 3.791 4.941
Cl 5.954 5.804 4.941
Cl 5.680 2.255 4.942



# 4
5
Lattice="-2.174 2.219 5.510 3.930 -1.962 2.340 3.216 5.373 -0.895" Properties=species:S:1:pos:R:3 comment="PBE-GGA KHg2AsCl, relaxed" energy_ev_per_cell=-8.11 dos_at_fermi_per_ev_cell=1.620 raw_formation_energy_ev_per_atom=0.0169 sg="P4/mmm, No. 123" pbc="T T T"
As 1.965 -0.981 1.170
K 2.486 2.815 3.478
Cl 0.000 0.000 0.000
Hg 1.608 2.686 -0.448
Hg -1.087 1.110 2.755



# 5
9
Lattice="6.520 0.457 0.664 3.725 6.631 0.073 0.602 -0.232 6.699" Properties=species:S:1:pos:R:3 comment="PBE-GGA LiHgAsCl6, relaxed" energy_ev_per_cell=-25.88 dos_at_fermi_per_ev_cell=0.000 raw_formation_energy_ev_per_atom=-0.8815 sg="P1, No. 1" pbc="T T T"
Li 6.907 4.145 4.294
Cl 9.123 4.428 5.602
As 3.719 2.558 3.522
Cl 1.960 2.634 2.009
Hg 7.005 0.471 6.843
Cl 6.237 6.495 5.027
Cl 4.854 0.336 1.877
Cl 4.969 4.102 2.480
Cl 5.735 2.481 5.454



# 6
5
Lattice="-0.817 5.300 0.825 -2.859 0.200 -4.117 -4.382 -1.141 2.988" Properties=species:S:1:pos:R:3 comment="PBE-GGA Hg2MoAsCl, relaxed" energy_ev_per_cell=-13.21 dos_at_fermi_per_ev_cell=2.226 raw_formation_energy_ev_per_atom=0.9450 sg="P4/mmm, No. 123" pbc="T T T"
Cl -1.430 0.100 -2.058
As 0.000 0.000 0.000
Hg -2.191 -0.570 1.494
Hg -0.408 2.650 0.413
Mo -4.029 2.180 -0.152



# 7
72
Lattice="12.412 0.000 0.000 0.000 12.412 0.000 0.000 0.000 12.412" Properties=species:S:1:pos:R:3 comment="PBE-GGA Hg6MoAs4Cl7, relaxed" energy_ev_per_cell=-209.37 dos_at_fermi_per_ev_cell=12.451 raw_formation_energy_ev_per_atom=-0.4542 sg="Pa-3, No. 205" pbc="T T T"
Cl 6.760 8.545 5.731
Hg 2.294 2.483 11.820
Cl 11.938 6.760 10.073
Cl 0.000 0.000 0.000
Hg 3.723 5.614 2.294
Cl 10.073 11.938 6.760
As 8.059 1.853 4.353
As 2.918 9.125 9.494
Cl 0.000 6.206 6.206
Hg 10.118 8.690 6.798
As 4.353 10.560 8.059
Cl 11.858 2.339 5.731
Cl 8.545 5.731 6.760
As 3.288 3.288 3.288
Cl 5.731 11.858 2.339
Cl 2.339 5.731 11.858
Hg 2.483 6.798 8.501
Hg 10.118 9.929 0.592
As 9.494 2.918 9.125
Cl 0.475 5.652 2.339
Cl 10.073 6.681 0.554
As 10.560 8.059 4.353
Hg 9.929 0.592 10.118
Cl 6.760 10.073 11.938
Cl 6.681 5.652 3.867
Hg 8.690 6.798 10.118
Cl 6.681 0.554 10.073
As 2.918 9.494 3.288
Hg 3.723 0.592 8.501
Hg 3.912 9.929 5.614
Cl 11.938 11.858 3.867
Mo 6.206 6.206 6.206
Hg 5.614 3.912 9.929
Cl 0.554 8.545 0.475
As 9.125 9.125 9.125
Cl 11.858 3.867 11.938
As 3.288 2.918 9.494
Cl 6.206 0.000 6.206
Cl 5.652 3.867 6.681
Hg 0.592 8.501 3.723
Cl 3.867 6.681 5.652
Hg 5.614 2.294 3.723
Mo 6.206 0.000 0.000
Hg 11.820 3.912 8.690
As 9.494 3.288 2.918
Hg 2.483 11.820 2.294
Hg 6.798 10.118 8.690
Cl 3.867 11.938 11.858
Cl 5.731 6.760 8.545
Cl 0.554 10.073 6.681
Hg 2.294 3.723 5.614
Cl 5.652 2.339 0.475
Hg 11.820 2.294 2.483
Hg 8.501 2.483 6.798
Cl 8.545 0.475 0.554
Hg 8.690 11.820 3.912
Hg 3.912 8.690 11.820
Hg 6.798 8.501 2.483
Mo 0.000 6.206 0.000
Mo 0.000 0.000 6.206
Cl 6.206 6.206 0.000
Hg 9.929 5.614 3.912
As 10.560 10.560 10.560
As 1.853 4.353 8.059
Hg 8.501 3.723 0.592
As 4.353 8.059 1.853
Cl 0.475 0.554 8.545
As 8.059 4.353 10.560
As 1.853 1.853 1.853
As 9.125 9.494 2.918
Hg 0.592 10.118 9.929
Cl 2.339 0.475 5.652



# 8
5
Lattice="4.902 0.000 0.000 0.000 4.902 0.000 0.000 0.000 5.010" Properties=species:S:1:pos:R:3 comment="PBE-GGA HgMoAs2Cl, relaxed" energy_ev_per_cell=-21.49 dos_at_fermi_per_ev_cell=2.838 raw_formation_energy_ev_per_atom=0.1567 sg="P4/mmm, No. 123" pbc="T T T"
Mo 0.000 0.000 0.000
As 0.000 2.451 0.000
As 2.451 0.000 0.000
Cl 0.000 0.000 2.505
Hg 2.451 2.451 2.505



# 9
36
Lattice="8.646 0.000 0.000 0.000 8.646 0.000 0.000 0.000 8.646" Properties=species:S:1:pos:R:3 comment="PBE-GGA Hg3AsClO4, relaxed" energy_ev_per_cell=-134.61 dos_at_fermi_per_ev_cell=0.000 raw_formation_energy_ev_per_atom=-0.7130 sg="P2_13, No. 198" pbc="T T T"
O 7.478 7.478 7.478
O 5.198 5.438 7.798
Hg 3.054 8.199 0.878
Hg 5.201 1.269 0.447
As 4.505 0.182 4.141
O 5.171 3.447 1.115
Hg 1.269 0.447 5.201
Hg 7.768 7.377 4.770
Cl 1.954 1.954 1.954
O 3.155 5.491 1.168
Cl 6.692 6.277 2.369
As 0.182 4.141 4.505
Cl 2.369 6.692 6.277
O 5.438 7.798 5.198
Hg 7.377 4.770 7.768
O 7.798 5.198 5.438
Hg 8.199 0.878 3.054
O 5.491 1.168 3.155
O 3.208 3.475 7.770
Hg 0.878 3.054 8.199
Hg 4.770 7.768 7.377
O 7.770 3.208 3.475
Hg 5.592 3.876 3.445
O 0.875 7.531 0.848
O 0.848 0.875 7.531
Hg 0.447 5.201 1.269
As 8.464 8.464 8.464
O 7.531 0.848 0.875
As 4.141 4.505 0.182
O 1.115 5.171 3.447
Hg 3.876 3.445 5.592
O 3.475 7.770 3.208
O 3.447 1.115 5.171
Cl 6.277 2.369 6.692
Hg 3.445 5.592 3.876
O 1.168 3.155 5.491



# 10
5
Lattice="5.456 0.000 0.000 0.000 4.331 0.000 0.000 0.000 5.456" Properties=species:S:1:pos:R:3 comment="PBE-GGA Hg2AsOsCl, relaxed" energy_ev_per_cell=-13.98 dos_at_fermi_per_ev_cell=3.586 raw_formation_energy_ev_per_atom=0.8701 sg="P4/mmm, No. 123" pbc="T T T"
Cl 0.000 2.166 0.000
As 2.728 2.166 2.728
Hg 0.000 0.000 2.728
Os 0.000 0.000 0.000
Hg 2.728 0.000 0.000



# 11
5
Lattice="4.936 0.000 0.000 0.000 4.936 0.000 0.000 0.000 5.095" Properties=species:S:1:pos:R:3 comment="PBE-GGA HgAsPCl2, relaxed" energy_ev_per_cell=-13.06 polymorph_energy_mev_per_atom=0 dos_at_fermi_per_ev_cell=2.962 raw_formation_energy_ev_per_atom=0.1981 sg="P4/mmm, No. 123" pbc="T T T"
Hg 2.468 2.468 2.547
P 0.000 0.000 2.547
Cl 0.000 2.468 0.000
As 0.000 0.000 0.000
Cl 2.468 0.000 0.000



# 12
9
Lattice="-6.512 -1.154 -1.857 -1.590 -0.787 -6.635 1.105 -7.177 0.583" Properties=species:S:1:pos:R:3 comment="PBE-GGA RbHgAsCl6, relaxed" energy_ev_per_cell=-25.34 dos_at_fermi_per_ev_cell=0.000 raw_formation_energy_ev_per_atom=-0.9263 sg="P312, No. 149" pbc="T T T"
Cl -3.184 -3.071 -4.763
Cl -5.376 -3.632 -7.508
Rb -0.485 -7.963 -6.052
Cl -6.661 -3.561 -4.193
As -4.850 -4.882 -5.370
Cl -3.280 -6.262 -6.803
Cl -3.978 -6.086 -3.319
Hg -2.149 -4.235 -2.539
Cl -6.613 -6.680 -5.633



# 13
5
Lattice="-0.360 -5.060 -1.152 6.957 -0.034 -2.021 1.406 -1.207 4.861" Properties=species:S:1:pos:R:3 comment="PBE-GGA RbHg2AsCl, relaxed" energy_ev_per_cell=-10.38 dos_at_fermi_per_ev_cell=1.434 raw_formation_energy_ev_per_atom=-0.4624 sg="P4/mmm, No. 123" pbc="T T T"
Hg 0.703 -0.603 2.430
As 0.000 0.000 0.000
Cl 4.002 -3.150 0.844
Hg -0.180 -2.530 -0.576
Rb 3.478 -0.017 -1.011



# 14
18
Lattice="-0.631 -7.053 2.687 6.817 2.777 -1.784 1.000 3.355 9.041" Properties=species:S:1:pos:R:3 comment="PBE-GGA Hg3AsS4Cl, relaxed" energy_ev_per_cell=-51.93 dos_at_fermi_per_ev_cell=0.000 raw_formation_energy_ev_per_atom=-0.2280 sg="P6_3mc, No. 186" pbc="T T T"
Cl 1.895 -3.629 1.595
Hg 3.507 -3.153 8.495
Hg 3.819 0.330 7.168
S 0.836 -4.390 5.252
Hg 3.350 -1.306 2.629
Hg 0.453 -1.041 8.049
S 1.185 -0.489 3.766
As 0.232 0.777 2.095
Hg 6.716 0.065 1.748
S 4.448 -0.119 0.733
S 6.564 4.188 6.634
Hg 3.662 2.177 1.303
S 2.794 2.653 7.620
S 4.606 -2.854 4.265
As 0.732 2.454 6.615
S 2.465 -1.718 6.744
Cl 4.878 1.325 4.625
S 6.215 0.288 8.120



# 15
5
Lattice="-3.842 -2.726 -1.573 2.980 -3.949 -0.435 -1.021 -1.291 4.733" Properties=species:S:1:pos:R:3 comment="PBE-GGA HgAsSCl2, relaxed" energy_ev_per_cell=-12.93 polymorph_energy_mev_per_atom=0 dos_at_fermi_per_ev_cell=2.617 raw_formation_energy_ev_per_atom=-0.0317 sg="P4/mmm, No. 123" pbc="T T T"
Hg -0.942 -3.983 1.363
Cl 1.490 -1.975 -0.217
S -0.511 -0.646 2.366
As 0.000 0.000 0.000
Cl -1.921 -1.363 -0.786



# 16
5
Lattice="-2.182 1.788 -3.938 1.066 -4.052 -2.430 -4.270 -1.999 1.458" Properties=species:S:1:pos:R:3 comment="PBE-GGA HgAsS2Cl, relaxed" energy_ev_per_cell=-13.80 polymorph_energy_mev_per_atom=0 dos_at_fermi_per_ev_cell=3.628 raw_formation_energy_ev_per_atom=0.2509 sg="P4/mmm, No. 123" pbc="T T T"
Hg -2.693 -2.131 -2.455
S 0.533 -2.026 -1.215
Cl -2.135 -0.999 0.729
S -1.091 0.894 -1.969
As 0.000 0.000 0.000



# 17
16
Lattice="8.572 -0.581 0.020 -0.587 8.571 0.020 -3.922 -3.925 5.596" Properties=species:S:1:pos:R:3 comment="PBE-GGA Hg4AsSCl2, relaxed" energy_ev_per_cell=-29.28 dos_at_fermi_per_ev_cell=3.107 raw_formation_energy_ev_per_atom=-0.1205 sg="C2/c, No. 15" pbc="T T T"
Cl 2.325 -2.253 2.808
Hg 2.458 1.828 5.524
Hg 4.267 3.638 2.931
Hg -2.425 2.481 5.567
S 4.649 -4.506 5.616
Cl -1.961 -1.962 2.798
Hg 6.487 1.585 0.069
Hg 4.198 -0.051 2.867
Hg -0.204 0.427 2.706
Hg 1.604 2.237 0.113
Cl 4.286 -0.291 0.010
As 6.317 1.742 2.828
Hg -0.136 4.116 2.769
Cl 3.992 3.995 0.020
S 2.031 2.033 2.818
As -0.294 4.286 0.010



# 18
20
Lattice="-1.434 -5.947 4.504 2.519 -4.971 -5.762 9.668 0.560 3.744" Properties=species:S:1:pos:R:3 comment="PBE-GGA Hg6SbAsCl2, relaxed" energy_ev_per_cell=-31.39 dos_at_fermi_per_ev_cell=4.883 raw_formation_energy_ev_per_atom=-0.1419 sg="P2_1/c, No. 14" pbc="T T T"
As 6.094 -2.206 -1.009
Cl 8.353 -10.457 1.553
Cl 7.762 -5.053 2.209
Cl 2.400 0.099 0.933
Hg 2.046 -5.274 -2.852
Sb 4.117 -2.693 4.124
Hg 6.194 -8.027 1.203
Sb 1.260 -2.486 -2.881
Hg 5.003 -5.443 3.893
Hg 9.313 -6.635 -1.305
Cl 2.991 -5.305 0.278
Hg 8.227 -2.910 0.583
Hg 8.707 -5.084 5.338
As -0.717 -2.974 2.252
Hg 1.440 -3.723 3.791
Hg 4.559 -2.331 1.284
Hg 0.795 -2.569 -0.022
Hg 2.526 -7.449 1.904
Hg 5.750 -4.916 -1.407
Hg 9.958 -7.789 2.508



# 19
4
Lattice="-3.318 -0.124 1.933 1.375 -2.539 2.534 3.077 6.699 2.890" Properties=species:S:1:pos:R:3 comment="PBE-GGA HgAsSeCl, relaxed" energy_ev_per_cell=-11.17 raw_formation_energy_ev_per_atom=-0.2216 sg="Cm, No. 8" pbc="T T T"
Hg 1.048 2.613 2.316
As 0.052 0.437 1.351
Cl 0.271 2.037 6.064
Se -0.916 -1.030 3.012